No. 1
## Li2Ag4Pb3 (PBE-GGA)

Data for a relaxed Li2Ag4Pb3 crystal.

Cell and atoms, written as extended XYZ:
```
9
Lattice="5.054 0.000 0.000 -2.527 4.762 -0.184 0.000 -1.640 8.030" Properties=species:S:1:pos:R:3 pbc="T T T"
Li 0.000 1.700 2.452
Li 2.527 1.423 5.394
Ag 2.527 1.731 0.103
Ag 0.000 0.075 5.111
Ag 2.527 3.048 2.735
Ag 0.000 1.391 7.743
Pb 0.000 3.127 5.249
Pb 0.000 0.000 0.000
Pb 2.527 -0.004 2.597
```

## Properties
The value obtained for the uncorrected energy is -26.92 eV for the cell shown. As for the crystal system: monoclinic. The value obtained for the density of states at the Fermi level is 2.2 states/eV per cell. For the theoretical density, the calculation gives 9.24 g/cm³.

=====

No. 2
## Ba2ZnSb4Au3 (PBE-GGA)

Data for a relaxed Ba2ZnSb4Au3 crystal.

Cell and atoms, written as extended XYZ:
```
10
Lattice="-1.741 0.288 4.620 2.446 -4.134 1.179 8.937 6.139 2.985" Properties=species:S:1:pos:R:3 pbc="T T T"
Ba 1.415 1.714 3.073
Ba 7.875 2.502 2.811
Zn 4.821 1.146 4.392
Sb 0.353 -1.923 2.899
Sb 0.000 0.000 0.000
Sb 4.723 3.986 4.178
Sb 4.567 0.230 1.706
Au 4.469 3.069 1.492
Au 6.900 5.481 4.905
Au 2.390 -1.265 0.979
```

## Properties
The value obtained for the uncorrected energy is -37.26 eV for the cell shown. As for the formation energy from raw total energies: -0.58 eV per atom. As for the crystal system: tetragonal. The value obtained for the density of states at the Fermi level is 3.3 states/eV per cell. For the theoretical density, the calculation gives 8.56 g/cm³.

=====

No. 3
## CaY2BiB (PBE-GGA)

Data for a relaxed CaY2BiB crystal.

Cell and atoms, written as extended XYZ:
```
5
Lattice="5.063 0.000 0.000 0.000 5.063 0.000 0.000 0.000 5.169" Properties=species:S:1:pos:R:3 pbc="T T T"
Y 0.000 2.532 0.000
Y 2.532 0.000 0.000
Ca 0.000 0.000 2.585
B 0.000 0.000 0.000
Bi 2.532 2.532 2.585
```

## Properties
The value obtained for the uncorrected energy is -27.59 eV for the cell shown. As for the crystal system: tetragonal. The value obtained for the density of states at the Fermi level is 1.8 states/eV per cell. For the theoretical density, the calculation gives 5.48 g/cm³.

=====

No. 4
## Ba2UTi3O12 (PBE-GGA)

Data for a relaxed Ba2UTi3O12 crystal.

Cell and atoms, written as extended XYZ:
```
18
Lattice="7.353 0.117 0.083 3.733 6.336 0.083 3.733 2.173 5.952" Properties=species:S:1:pos:R:3 pbc="T T T"
Ba 9.072 5.280 3.745
Ba 5.747 3.345 2.373
U 0.000 0.000 0.000
Ti 3.676 0.059 0.042
Ti 1.866 3.168 0.042
Ti 1.866 1.086 2.976
O 6.940 4.040 5.530
O 11.418 6.646 2.202
O 9.356 7.817 5.545
O 9.127 2.798 1.984
O 11.418 4.275 5.545
O 6.940 6.554 1.984
O 7.878 4.586 0.588
O 3.401 1.979 3.917
O 5.463 0.808 0.573
O 5.692 5.828 4.134
O 3.401 4.351 0.573
O 7.878 2.071 4.134
```

## Properties
The value obtained for the uncorrected energy is -147.07 eV for the cell shown. As for the formation energy from raw total energies: -2.71 eV per atom. As for the crystal system: trigonal. The value obtained for the density of states at the Fermi level is 11.9 states/eV per cell. For the theoretical density, the calculation gives 5.18 g/cm³.